Crystalline Pr2YErTm6 at its relaxed geometry, computed with GGA-PBE.

The formation energy from the elements is 0.12 eV/atom. The value obtained for the total magnetization is 0.02 Bohr magnetons per cell.

Cell: 8.723 8.723 9.628 Å, 94.63 94.63 118.34°
Fractional positions:
Pr (0.194, 0.300, 0.043)
Pr (0.300, 0.194, 0.543)
Pr (0.700, 0.806, 0.457)
Pr (0.806, 0.700, 0.957)
Y (0.017, 0.983, 0.250)
Y (0.983, 0.017, 0.750)
Er (0.406, 0.594, 0.750)
Er (0.594, 0.406, 0.250)
Tm (0.023, 0.576, 0.188)
Tm (0.127, 0.743, 0.558)
Tm (0.257, 0.873, 0.942)
Tm (0.291, 0.502, 0.382)
Tm (0.424, 0.977, 0.312)
Tm (0.498, 0.709, 0.118)
Tm (0.502, 0.291, 0.882)
Tm (0.576, 0.023, 0.688)
Tm (0.709, 0.498, 0.618)
Tm (0.743, 0.127, 0.058)
Tm (0.873, 0.257, 0.442)
Tm (0.977, 0.424, 0.812)